1.
This record from Alexandria via LeMat-Bulk describes crystalline Li2AlSeBr at its relaxed geometry. The functional is PBE.

## Properties
- Total DFT energy (no corrections): -2.93 eV per atom
- Space-group type: No. 123
- Formation energy (no corrections): -0.39 eV/atom

Lattice parameters (Å, degrees): 4.735 5.616 4.735 90.00 90.00 90.00
Fractional positions:
Al  0.000  0.500  0.000
Li  0.500  0.000  0.000
Li  0.000  0.000  0.500
Se  0.500  0.500  0.500
Br  0.000  0.000  0.000

2.
This record from Alexandria via LeMat-Bulk describes crystalline Li2AlSnBr at its relaxed geometry. The functional is PBE.

## Properties
- Total DFT energy (no corrections): -2.31 eV per atom
- Space-group type: No. 123
- Formation energy (no corrections): 0.34 eV/atom

Lattice parameters (Å, degrees): 5.121 5.390 5.121 90.00 90.00 90.00
Fractional positions:
Br  0.000  0.500  0.000
Li  0.000  0.000  0.500
Li  0.500  0.000  0.000
Sn  0.500  0.500  0.500
Al  0.000  0.000  0.000

3.
This record from Alexandria via LeMat-Bulk describes crystalline LiAl2TeBr at its relaxed geometry. The functional is PBE.

## Properties
- Total DFT energy (no corrections): -2.34 eV per atom
- Space-group type: No. 123
- Formation energy (no corrections): 0.50 eV/atom

Lattice parameters (Å, degrees): 5.474 5.474 5.816 90.00 90.00 90.00
Fractional positions:
Li  0.500  0.500  0.500
Al  0.500  0.000  0.000
Al  0.000  0.500  0.000
Te  0.000  0.000  0.500
Br  0.000  0.000  0.000

4.
This record from Alexandria via LeMat-Bulk describes crystalline Li2AlVBr at its relaxed geometry. The functional is PBE.

## Properties
- Total DFT energy (no corrections): -3.04 eV per atom
- Space-group type: No. 123
- Formation energy (no corrections): 0.63 eV/atom

Lattice parameters (Å, degrees): 5.304 4.723 5.304 90.00 90.00 90.00
Fractional positions:
Br  0.000  0.500  0.000
Li  0.500  0.000  0.000
Li  0.000  0.000  0.500
Al  0.500  0.500  0.500
V  0.000  0.000  0.000

5.
This record from Alexandria via LeMat-Bulk describes crystalline MgAl2Br at its relaxed geometry. The functional is PBE.

## Properties
- Total DFT energy (no corrections): -2.61 eV per atom
- Space-group type: No. 166
- Formation energy (no corrections): 0.07 eV/atom

Lattice parameters (Å, degrees): 9.312 9.312 9.312 20.43 20.43 20.43
Fractional positions:
Mg  0.750  0.750  0.750
Br  0.250  0.250  0.250
Al  0.502  0.502  0.502
Al  0.998  0.998  0.998

6.
This record from Alexandria via LeMat-Bulk describes crystalline MgAl2Br at its relaxed geometry. The functional is PBE.

## Properties
- Total DFT energy (no corrections): -2.67 eV per atom
- Space-group type: No. 71
- Formation energy (no corrections): 0.02 eV/atom

Lattice parameters (Å, degrees): 6.184 6.184 6.184 148.91 134.68 55.98
Fractional positions:
Mg  0.250  0.750  0.500
Al  0.013  0.013  0.000
Al  0.487  0.487  0.000
Br  0.750  0.250  0.500